[1]
## AlTePdN2 (GGA-PBE)

Data for an optimized crystal structure of AlTePdN2.

total magnetization: 2.46 μB/f.u.
raw total energy: -0.1827 hartree per atom
excess energy over the best structure of this formula in the dataset: 0.00 eV per formula unit

Unit cell a=3.7819 b=3.7819 c=6.1079 alpha=90.00 beta=90.00 gamma=90.00
Positions (direct):
Al  0.0000  0.0000  0.0000
Te  0.0000  0.0000  0.5000
Pd  0.5000  0.5000  0.5000
N  0.0000  0.5000  0.0000
N  0.5000  0.0000  0.0000

=====

[2]
## SmFeCoSi2 (GGA-PBE)

Data for an optimized crystal structure of SmFeCoSi2.

total magnetization: 0.00 μB/f.u.
raw total energy: -0.2558 hartree per atom

Unit cell a=5.6121 b=5.6121 c=5.6121 alpha=138.66 beta=138.66 gamma=59.90
Positions (direct):
Sm  0.0000  0.0000  0.0000
Fe  0.7500  0.2500  0.5000
Co  0.2500  0.7500  0.5000
Si  0.3658  0.3658  0.0000
Si  0.6342  0.6342  0.0000